NbI3F | GGA-PBE | relaxed

## Properties
- Energy above the lowest structure with this stoichiometry: 1091 meV/atom
- Density: 5.8 g/cm3
- SG: Pm-3m
- DOS(E_F): 1.99 states/eV/atom

Cell: 5.203 5.203 5.203 Å, 90.00 90.00 90.00°
Atoms (fractional coordinates):
Nb 0.000 0.000 0.000
I 0.000 0.500 0.500
I 0.500 0.000 0.500
I 0.500 0.500 0.000
F 0.500 0.500 0.500